Entry from OQMD: a relaxed CoIrPd2 crystal (GGA-PBE).

```
CoIrPd2
1.0
0.0000 3.0689 3.0689
3.0689 0.0000 3.0689
3.0689 3.0689 0.0000
Co Ir Pd
1 1 2
direct
0.0000 0.0000 0.0000
0.2500 0.2500 0.2500
0.5000 0.5000 0.5000
0.7500 0.7500 0.7500
```

The total magnetic moment is 3.84 μB per formula unit. The mass density is 13.3 g/cm³. The formation energy from the elements is 0.280 eV per atom.

---

Entry from OQMD: a relaxed CoIrPd crystal (GGA-PBE).

```
CoIrPd
1.0
0.0000 2.8286 2.8286
2.8286 0.0000 2.8286
2.8286 2.8286 0.0000
Co Ir Pd
1 1 1
direct
0.0000 0.0000 0.0000
0.7500 0.7500 0.7500
0.2500 0.2500 0.2500
```

The total magnetic moment is 3.14 μB per formula unit. The mass density is 13.1 g/cm³. The distance to the lowest polymorph of the same formula comes out at 0 meV per atom. The formation energy from the elements is 0.511 eV per atom.

---

Entry from OQMD: a relaxed CoSiIrPd crystal (GGA-PBE).

```
CoSiIrPd
1.0
0.0000 2.9858 2.9858
2.9858 0.0000 2.9858
2.9858 2.9858 0.0000
Co Si Ir Pd
1 1 1 1
direct
0.0000 0.0000 0.0000
0.7500 0.7500 0.7500
0.5000 0.5000 0.5000
0.2500 0.2500 0.2500
```

The total magnetic moment is 1.52 μB per formula unit. The mass density is 12.0 g/cm³. The distance to the lowest polymorph of the same formula comes out at 0 meV per atom.